No. 1
Sr2Zn2Cu15 | Alexandria via LeMat-Bulk | PBE | optimized geometry; total moment = 0.00 μB/atom; DFT formation energy = -0.065 eV per atom; total DFT energy (no corrections) = -68.6 eV/cell; density of states at the Fermi level = 0.306 states/eV per atom
1.0
4.384 2.531 4.246
-4.384 2.531 4.246
0.000 -5.062 4.246
Sr Zn Cu
2 2 15
Direct
0.152 0.152 0.152
0.848 0.848 0.848
0.401 0.401 0.401
0.599 0.599 0.599
0.000 0.500 0.500
0.161 0.161 0.650
0.161 0.650 0.161
0.209 0.500 0.791
0.209 0.791 0.500
0.350 0.839 0.839
0.500 0.000 0.500
0.500 0.209 0.791
0.500 0.500 0.000
0.500 0.791 0.209
0.650 0.161 0.161
0.791 0.209 0.500
0.791 0.500 0.209
0.839 0.350 0.839
0.839 0.839 0.350



No. 2
BaAcAgRh | Alexandria via LeMat-Bulk | PBE | optimized geometry; total moment = 0.00 μB/atom; DFT formation energy = -0.241 eV per atom; total DFT energy (no corrections) = -17.2 eV/cell; density of states at the Fermi level = 0.426 states/eV per atom
1.0
0.000 3.862 3.862
3.862 0.000 3.862
3.862 3.862 0.000
Ba Ac Ag Rh
1 1 1 1
Direct
0.000 0.000 0.000
0.500 0.500 0.500
0.250 0.250 0.250
0.750 0.750 0.750



No. 3
La2CdTc | Alexandria via LeMat-Bulk | PBE | optimized geometry; total moment = 0.00 μB/atom; DFT formation energy = 0.149 eV per atom; total DFT energy (no corrections) = -20.5 eV/cell; density of states at the Fermi level = 1.313 states/eV per atom
1.0
1.917 1.107 9.134
-1.917 1.107 9.134
0.000 -2.214 9.134
La Cd Tc
2 1 1
Direct
0.235 0.235 0.235
0.765 0.765 0.765
0.000 0.000 0.000
0.500 0.500 0.500



No. 4
TiInOs3 | Alexandria via LeMat-Bulk | PBE | optimized geometry; total moment = 0.00 μB/atom; DFT formation energy = 2.526 eV per atom; total DFT energy (no corrections) = -31.7 eV/cell; energy relative to the lowest polymorph listed for this composition = 937 meV/atom; density of states at the Fermi level = 0.888 states/eV per atom
1.0
4.744 0.000 0.000
0.000 4.744 0.000
0.000 0.000 4.744
Ti In Os
1 1 3
Direct
0.000 0.000 0.000
0.500 0.500 0.500
0.000 0.500 0.500
0.500 0.000 0.500
0.500 0.500 0.000



No. 5
Ac3PmGe2N6 | Alexandria via LeMat-Bulk | PBE | optimized geometry; total moment = 0.07 μB/atom; energy relative to the elements, uncorrected = -729.8 meV per atom; total DFT energy (no corrections) = -85.0 eV/cell; density of states at the Fermi level = 0.468 states/eV per atom
1.0
6.170 0.000 0.000
-3.085 5.344 0.000
0.000 0.000 6.745
Ac Pm Ge N
3 1 2 6
Direct
0.000 0.000 0.000
0.333 0.667 0.632
0.667 0.333 0.368
0.000 0.000 0.500
0.333 0.667 0.170
0.667 0.333 0.830
0.176 0.352 0.289
0.176 0.824 0.289
0.352 0.176 0.711
0.648 0.824 0.289
0.824 0.176 0.711
0.824 0.648 0.711



No. 6
K2LiPu2O7 | Alexandria via LeMat-Bulk | PBE | optimized geometry; total moment = 0.42 μB/atom; energy relative to the elements, uncorrected = -2341.2 meV per atom; total DFT energy (no corrections) = -95.6 eV/cell; density of states at the Fermi level = 0.649 states/eV per atom
1.0
-2.129 2.129 10.904
2.129 -2.129 10.904
2.129 2.129 -10.904
K Li Pu O
2 1 2 7
Direct
0.190 0.190 0.000
0.810 0.810 0.000
0.000 0.000 0.000
0.405 0.405 0.000
0.595 0.595 0.000
0.091 0.591 0.500
0.315 0.315 0.000
0.409 0.909 0.500
0.500 0.500 0.000
0.591 0.091 0.500
0.685 0.685 0.000
0.909 0.409 0.500



No. 7
MnTcMo2 | Alexandria via LeMat-Bulk | PBE | optimized geometry; total moment = 0.56 μB/atom; DFT formation energy = 0.087 eV per atom; total DFT energy (no corrections) = -40.9 eV/cell; energy relative to the lowest polymorph listed for this composition = 23 meV/atom; density of states at the Fermi level = 0.853 states/eV per atom
1.0
2.664 0.000 0.000
0.000 4.359 0.000
-0.856 0.000 5.075
Mn Tc Mo
1 1 2
Direct
0.000 0.000 0.000
0.282 0.500 0.748
0.521 0.000 0.499
0.751 0.500 0.234



No. 8
Li2CrCu2 | Alexandria via LeMat-Bulk | PBE | optimized geometry; total moment = 0.00 μB/atom; DFT formation energy = 0.439 eV per atom; total DFT energy (no corrections) = -38.9 eV/cell; energy relative to the lowest polymorph listed for this composition = 120 meV/atom; density of states at the Fermi level = 1.121 states/eV per atom
1.0
7.132 0.000 0.000
0.000 7.132 0.000
0.000 0.000 2.417
Li Cr Cu
4 2 4
Direct
0.162 0.338 0.000
0.338 0.838 0.000
0.662 0.162 0.000
0.838 0.662 0.000
0.000 0.000 0.500
0.500 0.500 0.500
0.138 0.638 0.500
0.362 0.138 0.500
0.638 0.862 0.500
0.862 0.362 0.500



No. 9
SmHo2Cd | Alexandria via LeMat-Bulk | PBE | optimized geometry; total moment = 0.00 μB/atom; DFT formation energy = -0.078 eV per atom; total DFT energy (no corrections) = -15.1 eV/cell; energy relative to the lowest polymorph listed for this composition = 71 meV/atom; density of states at the Fermi level = 1.016 states/eV per atom
1.0
1.789 1.033 10.787
-1.789 1.033 10.787
0.000 -2.065 10.787
Sm Ho Cd
1 2 1
Direct
0.000 0.000 0.000
0.244 0.244 0.244
0.756 0.756 0.756
0.500 0.500 0.500



No. 10
HfSnHg2Br | Alexandria via LeMat-Bulk | PBE | optimized geometry; total moment = 0.32 μB/atom; energy relative to the elements, uncorrected = 540.7 meV per atom; total DFT energy (no corrections) = -13.5 eV/cell; density of states at the Fermi level = 0.875 states/eV per atom
1.0
5.534 0.000 0.000
0.000 5.534 0.000
0.000 0.000 5.653
Hf Sn Hg Br
1 1 2 1
Direct
0.000 0.000 0.000
0.000 0.000 0.500
0.000 0.500 0.500
0.500 0.000 0.500
0.500 0.500 0.000



No. 11
NbReSi2Ge | Alexandria via LeMat-Bulk | PBE | optimized geometry; total moment = 0.00 μB/atom; energy relative to the elements, uncorrected = 742.6 meV per atom; total DFT energy (no corrections) = -34.3 eV/cell; density of states at the Fermi level = 0.694 states/eV per atom
1.0
4.564 0.000 0.000
0.000 4.564 0.000
0.000 0.000 5.112
Nb Re Si Ge
1 1 2 1
Direct
0.000 0.000 0.000
0.000 0.000 0.500
0.000 0.500 0.500
0.500 0.000 0.500
0.500 0.500 0.000



No. 12
ScGa2P | Alexandria via LeMat-Bulk | PBE | optimized geometry; total moment = 0.00 μB/atom; DFT formation energy = -0.365 eV per atom; total DFT energy (no corrections) = -38.5 eV/cell; density of states at the Fermi level = 0.571 states/eV per atom
1.0
-3.715 3.715 2.695
3.715 -3.715 2.695
3.715 3.715 -2.695
Sc Ga P
2 4 2
Direct
0.000 0.000 0.000
0.750 0.250 0.500
0.164 0.125 0.539
0.375 0.836 0.961
0.586 0.625 0.461
0.875 0.414 0.039
0.250 0.750 0.500
0.500 0.500 0.000



No. 13
TlSi2Ag | Alexandria via LeMat-Bulk | PBE | optimized geometry; total moment = 0.00 μB/atom; energy relative to the elements, uncorrected = 444.5 meV per atom; total DFT energy (no corrections) = -14.3 eV/cell; energy relative to the lowest polymorph listed for this composition = 180 meV/atom; density of states at the Fermi level = 0.328 states/eV per atom
1.0
2.993 0.000 0.000
0.000 4.074 0.000
0.000 0.000 7.013
Tl Si Ag
1 2 1
Direct
0.000 0.000 0.000
0.500 0.500 0.324
0.500 0.500 0.676
0.000 0.000 0.500



No. 14
DyTiGe2 | Alexandria via LeMat-Bulk | PBE | optimized geometry; total moment = 0.00 μB/atom; DFT formation energy = -0.597 eV per atom; total DFT energy (no corrections) = -24.1 eV/cell; density of states at the Fermi level = 0.507 states/eV per atom
1.0
2.095 1.210 5.410
-2.095 1.210 5.410
0.000 -2.420 5.410
Dy Ti Ge
1 1 2
Direct
0.000 0.000 0.000
0.500 0.500 0.500
0.233 0.233 0.233
0.767 0.767 0.767



No. 15
Y2LuSn | Alexandria via LeMat-Bulk | PBE | optimized geometry; total moment = 0.13 μB/atom; DFT formation energy = -0.398 eV per atom; total DFT energy (no corrections) = -23.0 eV/cell; energy relative to the lowest polymorph listed for this composition = 0 meV/atom; density of states at the Fermi level = 1.255 states/eV per atom
1.0
4.799 0.000 0.000
0.000 4.799 0.000
0.000 0.000 4.790
Y Lu Sn
2 1 1
Direct
0.000 0.500 0.000
0.500 0.000 0.000
0.000 0.000 0.500
0.500 0.500 0.500



No. 16
CdIn2SbH | Alexandria via LeMat-Bulk | PBE | optimized geometry; total moment = 0.00 μB/atom; total DFT energy (no corrections) = -12.7 eV/cell; density of states at the Fermi level = 0.235 states/eV per atom
1.0
5.149 0.000 0.000
0.000 5.149 0.000
0.000 0.000 4.286
Cd In Sb H
1 2 1 1
Direct
0.000 0.000 0.000
0.000 0.500 0.500
0.500 0.000 0.500
0.500 0.500 0.000
0.500 0.500 0.500



No. 17
NdTeBr2 | Alexandria via LeMat-Bulk | PBE | optimized geometry; total moment = 0.24 μB/atom; energy relative to the elements, uncorrected = -1299.2 meV per atom; total DFT energy (no corrections) = -32.9 eV/cell; density of states at the Fermi level = 0.472 states/eV per atom
1.0
2.078 -7.384 0.000
2.078 7.384 0.000
0.000 0.000 9.222
Nd Te Br
2 2 4
Direct
0.245 0.755 0.750
0.755 0.245 0.250
0.417 0.583 0.250
0.583 0.417 0.750
0.157 0.843 0.062
0.157 0.843 0.438
0.843 0.157 0.562
0.843 0.157 0.938



No. 18
Dy5UP6 | Alexandria via LeMat-Bulk | PBE | optimized geometry; total moment = 0.15 μB/atom; DFT formation energy = -1.512 eV per atom; total DFT energy (no corrections) = -84.9 eV/cell; density of states at the Fermi level = 0.672 states/eV per atom
1.0
3.451 -5.981 0.000
3.451 5.981 0.000
-2.300 0.000 6.504
Dy U P
5 1 6
Direct
0.000 0.000 0.000
0.166 0.834 0.500
0.331 0.669 0.000
0.669 0.331 0.000
0.834 0.166 0.500
0.500 0.500 0.500
0.092 0.418 0.254
0.257 0.257 0.745
0.418 0.092 0.254
0.582 0.908 0.746
0.743 0.743 0.255
0.908 0.582 0.746



No. 19
AgTe2 | Alexandria via LeMat-Bulk | PBE | optimized geometry; total moment = 0.00 μB/atom; energy relative to the elements, uncorrected = -5.4 meV per atom; total DFT energy (no corrections) = -36.6 eV/cell; density of states at the Fermi level = 0.518 states/eV per atom
1.0
7.036 0.000 0.000
0.000 7.036 0.000
0.000 0.000 7.036
Ag Te
4 8
Direct
0.000 0.000 0.000
0.000 0.500 0.500
0.500 0.000 0.500
0.500 0.500 0.000
0.113 0.613 0.887
0.113 0.887 0.387
0.387 0.113 0.887
0.387 0.387 0.387
0.613 0.613 0.613
0.613 0.887 0.113
0.887 0.113 0.613
0.887 0.387 0.113



No. 20
CeLuScZn | Alexandria via LeMat-Bulk | PBE | optimized geometry; total moment = 0.37 μB/atom; DFT formation energy = 0.012 eV per atom; total DFT energy (no corrections) = -18.0 eV/cell; density of states at the Fermi level = 1.425 states/eV per atom
1.0
0.000 3.658 3.658
3.658 0.000 3.658
3.658 3.658 0.000
Ce Lu Sc Zn
1 1 1 1
Direct
0.000 0.000 0.000
0.500 0.500 0.500
0.750 0.750 0.750
0.250 0.250 0.250



No. 21
KSr2Te2 | Alexandria via LeMat-Bulk | PBE | optimized geometry; total moment = 0.00 μB/atom; energy relative to the elements, uncorrected = -1069.7 meV per atom; total DFT energy (no corrections) = -16.1 eV/cell; energy relative to the lowest polymorph listed for this composition = 149 meV/atom; density of states at the Fermi level = 0.821 states/eV per atom
1.0
-2.821 2.821 7.774
2.821 -2.821 7.774
2.821 2.821 -7.774
K Sr Te
1 2 2
Direct
0.000 0.000 0.000
0.250 0.750 0.500
0.750 0.250 0.500
0.358 0.358 0.000
0.642 0.642 0.000



No. 22
La8Sn3Te4Br | Alexandria via LeMat-Bulk | PBE | optimized geometry; total moment = 0.00 μB/atom; energy relative to the elements, uncorrected = -1298.5 meV per atom; total DFT energy (no corrections) = -86.4 eV/cell; density of states at the Fermi level = 0.336 states/eV per atom
1.0
4.598 2.654 7.508
-4.598 2.654 7.508
0.000 -5.309 7.508
La Sn Te Br
8 3 4 1
Direct
0.241 0.751 0.751
0.247 0.247 0.247
0.249 0.249 0.759
0.249 0.759 0.249
0.751 0.241 0.751
0.751 0.751 0.241
0.753 0.753 0.753
0.759 0.249 0.249
0.000 0.000 0.500
0.000 0.500 0.000
0.500 0.000 0.000
0.000 0.000 0.000
0.000 0.500 0.500
0.500 0.000 0.500
0.500 0.500 0.000
0.500 0.500 0.500



No. 23
LiTb2Te4 | Alexandria via LeMat-Bulk | PBE | optimized geometry; total moment = 0.00 μB/atom; energy relative to the elements, uncorrected = -1149.7 meV per atom; total DFT energy (no corrections) = -63.6 eV/cell; density of states at the Fermi level = 0.077 states/eV per atom
1.0
7.622 0.000 0.000
0.000 6.211 0.000
-2.518 0.000 8.403
Li Tb Te
2 4 8
Direct
0.221 0.250 0.179
0.779 0.750 0.821
0.233 0.750 0.930
0.242 0.750 0.438
0.758 0.250 0.562
0.767 0.250 0.070
0.061 0.250 0.879
0.069 0.250 0.404
0.484 0.006 0.748
0.484 0.494 0.748
0.516 0.506 0.252
0.516 0.994 0.252
0.931 0.750 0.596
0.939 0.750 0.121



No. 24
Mg3Al3Zn | Alexandria via LeMat-Bulk | PBE | optimized geometry; total moment = 0.00 μB/atom; DFT formation energy = -0.006 eV per atom; total DFT energy (no corrections) = -34.7 eV/cell; density of states at the Fermi level = 0.307 states/eV per atom
1.0
7.836 0.000 0.000
-3.918 6.786 0.000
0.000 0.000 4.910
Mg Al Zn
6 6 2
Direct
0.094 0.468 0.250
0.375 0.906 0.250
0.468 0.375 0.750
0.532 0.625 0.250
0.625 0.094 0.750
0.906 0.532 0.750
0.049 0.228 0.750
0.179 0.951 0.750
0.228 0.179 0.250
0.772 0.821 0.750
0.821 0.049 0.250
0.951 0.772 0.250
0.333 0.667 0.750
0.667 0.333 0.250